(1)
Density functional theory data (GGA-PBE) for K3MoBr7 after structural relaxation.

Calculated values
Uncorrected formation energy   -1.1464 eV/atom
Total magnetic moment   2.0 μB per formula unit
Energy   -3.495 eV/atom

Unit cell a=7.308 b=7.308 c=7.853 alpha=99.61 beta=99.61 gamma=96.64
Atoms (fractional coordinates):
K 0.000 0.000 0.000
K 0.272 0.706 0.551
K 0.706 0.272 0.551
Mo 0.482 0.482 0.051
Br 0.155 0.485 0.872
Br 0.324 0.324 0.277
Br 0.474 0.807 0.224
Br 0.485 0.155 0.872
Br 0.640 0.640 0.829
Br 0.807 0.474 0.224
Br 0.955 0.955 0.579

---

(2)
Density functional theory data (GGA-PBE) for Y12Re5C6 after structural relaxation.

Calculated values
Total magnetic moment   0.0 μB per formula unit
ΔH_f (0 K)   -119 meV/atom
Energy   -8.604 eV/atom

Unit cell a=10.530 b=10.530 c=5.027 alpha=90.00 beta=90.00 gamma=120.00
Atoms (fractional coordinates):
Y 0.000 0.437 0.000
Y 0.000 0.802 0.000
Y 0.198 0.198 0.000
Y 0.199 0.755 0.500
Y 0.245 0.443 0.500
Y 0.437 0.000 0.000
Y 0.443 0.245 0.500
Y 0.557 0.801 0.500
Y 0.563 0.563 0.000
Y 0.755 0.199 0.500
Y 0.801 0.557 0.500
Y 0.802 0.000 0.000
Re 0.000 0.135 0.500
Re 0.135 0.000 0.500
Re 0.333 0.667 0.000
Re 0.667 0.333 0.000
Re 0.865 0.865 0.500
C 0.189 0.729 0.000
C 0.271 0.460 0.000
C 0.460 0.271 0.000
C 0.540 0.811 0.000
C 0.729 0.189 0.000
C 0.811 0.540 0.000

---

(3)
Density functional theory data (GGA-PBE) for Y12Ru3O5 after structural relaxation.

Calculated values
Uncorrected formation energy   -1.5205 eV/atom
Total magnetic moment   0.0 μB per formula unit
Energy   -8.030 eV/atom

Unit cell a=13.145 b=13.145 c=13.145 alpha=109.47 beta=109.47 gamma=109.47
Atoms (fractional coordinates):
Y 0.024 0.208 0.121
Y 0.024 0.316 0.904
Y 0.087 0.708 0.684
Y 0.087 0.879 0.404
Y 0.096 0.621 0.413
Y 0.096 0.976 0.684
Y 0.121 0.024 0.208
Y 0.121 0.596 0.913
Y 0.184 0.208 0.587
Y 0.184 0.476 0.596
Y 0.208 0.121 0.024
Y 0.208 0.587 0.184
Y 0.292 0.316 0.913
Y 0.292 0.476 0.379
Y 0.316 0.904 0.024
Y 0.316 0.913 0.292
Y 0.379 0.292 0.476
Y 0.379 0.587 0.904
Y 0.404 0.087 0.879
Y 0.404 0.816 0.524
Y 0.413 0.096 0.621
Y 0.413 0.816 0.792
Y 0.476 0.379 0.292
Y 0.476 0.596 0.184
Y 0.524 0.404 0.816
Y 0.524 0.621 0.708
Y 0.587 0.184 0.208
Y 0.587 0.904 0.379
Y 0.596 0.184 0.476
Y 0.596 0.913 0.121
Y 0.621 0.413 0.096
Y 0.621 0.708 0.524
Y 0.684 0.087 0.708
Y 0.684 0.096 0.976
Y 0.708 0.524 0.621
Y 0.708 0.684 0.087
Y 0.792 0.413 0.816
Y 0.792 0.879 0.976
Y 0.816 0.524 0.404
Y 0.816 0.792 0.413
Y 0.879 0.404 0.087
Y 0.879 0.976 0.792
Y 0.904 0.024 0.316
Y 0.904 0.379 0.587
Y 0.913 0.121 0.596
Y 0.913 0.292 0.316
Y 0.976 0.684 0.096
Y 0.976 0.792 0.879
Ru 0.125 0.250 0.375
Ru 0.125 0.375 0.750
Ru 0.250 0.375 0.125
Ru 0.250 0.875 0.625
Ru 0.375 0.125 0.250
Ru 0.375 0.750 0.125
Ru 0.625 0.250 0.875
Ru 0.625 0.875 0.750
Ru 0.750 0.125 0.375
Ru 0.750 0.625 0.875
Ru 0.875 0.625 0.250
Ru 0.875 0.750 0.625
O 0.000 0.000 0.000
O 0.000 0.000 0.500
O 0.000 0.500 0.000
O 0.000 0.500 0.500
O 0.125 0.750 0.875
O 0.125 0.875 0.250
O 0.250 0.125 0.875
O 0.250 0.625 0.375
O 0.375 0.250 0.625
O 0.375 0.625 0.750
O 0.500 0.000 0.000
O 0.500 0.000 0.500
O 0.500 0.500 0.000
O 0.500 0.500 0.500
O 0.625 0.375 0.250
O 0.625 0.750 0.375
O 0.750 0.375 0.625
O 0.750 0.875 0.125
O 0.875 0.125 0.750
O 0.875 0.250 0.125

---

(4)
Density functional theory data (GGA-PBE) for Ac2ThAl4Au3 after structural relaxation.

Calculated values
Total magnetic moment   0.0 μB per formula unit
ΔH_f (0 K)   -547 meV/atom
Energy   -4.591 eV/atom

Unit cell a=4.569 b=4.569 c=11.630 alpha=90.00 beta=90.00 gamma=90.00
Atoms (fractional coordinates):
Ac 0.000 0.500 0.235
Ac 0.500 0.000 0.765
Th 0.000 0.000 0.500
Al 0.000 0.000 0.000
Al 0.000 0.500 0.667
Al 0.500 0.000 0.333
Al 0.500 0.500 0.000
Au 0.000 0.500 0.887
Au 0.500 0.000 0.113
Au 0.500 0.500 0.500